Entry 1:
Material: LiTiTl
Method: DFT, PBE-GGA
State: optimized geometry

a b c (Å): 5.1727 5.1727 5.1566
angles (deg): 90.11 90.11 121.27
Atoms (fractional coordinates):
Li: 0.1729 0.8271 0.0000
Li: 0.8271 0.1729 0.0000
Ti: 0.3363 0.6637 0.5000
Ti: 0.6637 0.3363 0.5000
Tl: 0.0000 0.0000 0.5000
Tl: 0.5000 0.5000 0.0000

- total moment (μB per formula unit) = 1.81
- E above lowest polymorph (meV/atom) = 99
- symmetry = No. 12
- DOS at the Fermi energy (states/eV/cell) = 3.30
- volume (Å³ per cell) = 117.93
- E_form (meV/atom) = 39

Entry 2:
Material: LiTiTl
Method: DFT, PBE-GGA
State: optimized geometry

a b c (Å): 4.5475 4.5475 4.5475
angles (deg): 60.00 60.00 60.00
Atoms (fractional coordinates):
Li: 0.0000 0.0000 0.0000
Ti: 0.5000 0.5000 0.5000
Tl: 0.2500 0.2500 0.2500

- total moment (μB per formula unit) = 0.00
- E above lowest polymorph (meV/atom) = 403
- symmetry = No. 216
- DOS at the Fermi energy (states/eV/cell) = 0.00
- volume (Å³ per cell) = 66.50
- E_form (meV/atom) = 343